VASP calculation (PBE) on an optimized crystal structure of SrBiS2.

Results
- Total magnetic moment: 0.00 Bohr magnetons per cell
- Raw total energy: -4.373 eV per atom
- Raw formation energy: -0.919 eV per atom

```
SrBiS2
1.0
2.1900 1.2644 6.6991
-2.1900 1.2644 6.6991
0.0000 -2.5288 6.6991
Sr Bi S
1 1 2
direct
0.0000 0.0000 0.0000
0.8274 0.8274 0.8274
0.2425 0.2425 0.2425
0.4249 0.4249 0.4249
```